[1]
The following is a DFT calculation (PBE-GGA) of a geometry-optimized CrAs2Os structure.

The space group is R3m (No. 160, hexagonal axes) and the conventional cell measures 2.8882, 2.8882 and 30.0182 Å, with angles of 90.00, 90.00 and 120.00 degrees. The distinct sites, in fractional coordinates, are Cr at (0.0000, 0.0000, 0.0000), As at (0.0000, 0.0000, 0.5344), As at (0.0000, 0.0000, 0.7301) and Os at (0.0000, 0.0000, 0.2657).

For the magnetization, the calculation gives 3.7 μB per cell. As for the distance to the lowest polymorph of the same formula: 0.41 eV/f.u. As for the formation energy: 0.180 eV/atom.


[2]
The following is a DFT calculation (PBE-GGA) of a geometry-optimized CrAs4Os structure.

The space group is F-43m (No. 216) and the conventional cell measures 7.567, 7.567 and 7.567 Å, with angles of 90.00, 90.00 and 90.00 degrees. The distinct sites, in fractional coordinates, are Cr at (0.000, 0.000, 0.000), As at (0.125, 0.125, 0.375) and Os at (0.250, 0.250, 0.750).

For the magnetization, the calculation gives 11.9 μB per cell. As for the distance to the lowest polymorph of the same formula: 6.20 eV/f.u. As for the formation energy: 1.039 eV/atom.


[3]
The following is a DFT calculation (PBE-GGA) of a geometry-optimized CrAs2Os structure.

The space group is Pmm2 (No. 25) and the conventional cell measures 2.986, 4.472 and 4.372 Å, with angles of 90.00, 90.00 and 90.00 degrees. The distinct sites, in fractional coordinates, are Cr at (0.000, 0.000, 0.000), As at (0.000, 0.500, 0.252), As at (0.500, 0.000, 0.519) and Os at (0.500, 0.500, 0.784).

For the magnetization, the calculation gives 0.5 μB per cell. As for the distance to the lowest polymorph of the same formula: 0.20 eV/f.u. As for the formation energy: 0.129 eV/atom.


[4]
The following is a DFT calculation (PBE-GGA) of a geometry-optimized Cr2AsOs structure.

The space group is Cmm2 (No. 35) and the conventional cell measures 2.929, 4.499 and 8.449 Å, with angles of 90.00, 90.00 and 90.00 degrees. The distinct sites, in fractional coordinates, are Cr at (0.000, 0.000, 0.000), Cr at (0.000, 0.500, 0.219), As at (0.000, 0.500, 0.756) and Os at (0.000, 0.000, 0.458).

For the magnetization, the calculation gives 0.0 μB per cell. As for the formation energy: 0.468 eV/atom.


[5]
The following is a DFT calculation (PBE-GGA) of a geometry-optimized CrAs2Os structure.

The space group is P4/mmm (No. 123) and the conventional cell measures 4.315, 4.315 and 3.054 Å, with angles of 90.00, 90.00 and 90.00 degrees. The distinct sites, in fractional coordinates, are Cr at (0.000, 0.000, 0.000), As at (0.000, 0.500, 0.500) and Os at (0.500, 0.500, 0.000).

For the magnetization, the calculation gives 1.0 μB per cell. As for the distance to the lowest polymorph of the same formula: 0.51 eV/f.u. As for the formation energy: 0.206 eV/atom.


[6]
The following is a DFT calculation (PBE-GGA) of a geometry-optimized Cr2AsOs structure.

The space group is Pmm2 (No. 25) and the conventional cell measures 2.865, 4.221 and 4.445 Å, with angles of 90.00, 90.00 and 90.00 degrees. The distinct sites, in fractional coordinates, are Cr at (0.000, 0.000, 0.000), Cr at (0.000, 0.500, 0.287), As at (0.500, 0.000, 0.457) and Os at (0.500, 0.500, 0.788).

For the magnetization, the calculation gives 0.6 μB per cell. As for the formation energy: 0.115 eV/atom.


Short version: V = 18.07; 18.05; 14.59; 13.92; 14.22; 13.44 Å³ per atom, in the order given.